First-principles (PBE-GGA) data for an optimized crystal structure of Pu3OsRh2, as listed in Alexandria via LeMat-Bulk.

Structure (POSCAR):
```
Pu3OsRh2
1.0
3.1935 0.0000 0.0000
0.0000 4.8513 0.0000
0.0000 0.0000 15.3171
Pu Os Rh
6 2 4
Direct
0.4970 0.5000 0.6612
0.4955 0.0000 0.5000
0.4970 0.5000 0.3388
0.5030 0.0000 0.1612
0.5045 0.5000 0.0000
0.5030 0.0000 0.8388
0.9953 0.5000 0.5000
0.0047 0.0000 0.0000
0.9976 0.0000 0.6759
0.9976 0.0000 0.3241
0.0024 0.5000 0.1759
0.0024 0.5000 0.8241
```

Output
D(E_F): 42.59 states/eV per cell
ΔE to the lowest computed polymorph: 0.0 meV per atom
Energy of formation: -1.4 eV/f.u.
Total magnetic moment: 4.74 μB per formula unit